# ZrCd2Hg

A relaxed structure of ZrCd2Hg (PBE-GGA, OQMD).

Results
Raw total energy ... -42.63 eV for the cell shown
Size of the total moment ... 0.04 μB/cell
Formation energy ... -5 meV/atom

```
data_ZrCd2Hg
_cell_length_a 6.9820
_cell_length_b 6.9820
_cell_length_c 6.9820
_cell_angle_alpha 90.00
_cell_angle_beta 90.00
_cell_angle_gamma 90.00
_space_group_name_H-M_alt 'F -4 3 m'
_space_group_IT_number 216
_space_group_name_Hall 'F -4 2 3'
loop_
_atom_site_label
_atom_site_type_symbol
_atom_site_fract_x
_atom_site_fract_y
_atom_site_fract_z
Zr1 Zr 0.0000 0.0000 0.0000
Cd1 Cd 0.0000 0.0000 0.5000
Cd2 Cd 0.2500 0.2500 0.2500
Hg1 Hg 0.2500 0.2500 0.7500
```